Entry 1:
The following is a GGA-PBE calculation of a relaxed Al2Cu2Rh crystal, from the Alexandria database.

Computed properties:
Total magnetization in μB/cell: 0.0
Density of states at the Fermi level in states/eV per cell: 2.41
E_form in eV/atom: -0.33
DFT total energy in eV per atom: -4.93

Structure (POSCAR):
```
Al2Cu2Rh
1.0
6.838 0.000 0.000
0.000 6.838 0.000
0.000 0.000 2.865
Al Cu Rh
4 4 2
Direct
0.177 0.323 0.000 Al
0.323 0.823 0.000 Al
0.677 0.177 0.000 Al
0.823 0.677 0.000 Al
0.123 0.623 0.500 Cu
0.377 0.123 0.500 Cu
0.623 0.877 0.500 Cu
0.877 0.377 0.500 Cu
0.000 0.000 0.500 Rh
0.500 0.500 0.500 Rh
```

Entry 2:
The following is a GGA-PBE calculation of a relaxed AlCuRh2 crystal, from the Alexandria database.

Computed properties:
Total magnetization in μB/cell: 0.0
Density of states at the Fermi level in states/eV per cell: 6.88
E_form in eV/atom: -0.28
DFT total energy in eV per atom: -5.91

Structure (POSCAR):
```
AlCuRh2
1.0
2.983 0.000 0.000
0.000 4.599 0.000
0.000 0.000 8.146
Al Cu Rh
2 2 4
Direct
0.000 0.000 0.000 Al
0.500 0.500 0.000 Al
0.000 0.000 0.500 Cu
0.500 0.500 0.500 Cu
0.000 0.500 0.238 Rh
0.000 0.500 0.762 Rh
0.500 0.000 0.238 Rh
0.500 0.000 0.762 Rh
```

Entry 3:
The following is a GGA-PBE calculation of a relaxed AlCuRh2 crystal, from the Alexandria database.

Computed properties:
Total magnetization in μB/cell: 0.0
Density of states at the Fermi level in states/eV per cell: 4.24
E_form in eV/atom: -0.41
DFT total energy in eV per atom: -6.05

Structure (POSCAR):
```
AlCuRh2
1.0
8.504 0.000 0.000
0.000 2.798 0.000
-1.072 0.000 4.611
Al Cu Rh
2 2 4
Direct
0.000 0.000 0.000 Al
0.500 0.500 0.000 Al
0.000 0.500 0.500 Cu
0.500 0.000 0.500 Cu
0.243 0.500 0.249 Rh
0.257 0.000 0.751 Rh
0.743 0.000 0.249 Rh
0.757 0.500 0.751 Rh
```

Entry 4:
The following is a GGA-PBE calculation of a relaxed Al4Cu3Rh crystal, from the Alexandria database.

Computed properties:
Total magnetization in μB/cell: 0.0
Density of states at the Fermi level in states/eV per cell: 2.25
E_form in eV/atom: -0.41
DFT total energy in eV per atom: -4.74

Structure (POSCAR):
```
Al4Cu3Rh
1.0
3.062 0.000 0.000
0.000 3.062 0.000
0.000 0.000 11.478
Al Cu Rh
4 3 1
Direct
0.000 0.000 0.124 Al
0.000 0.000 0.375 Al
0.000 0.000 0.625 Al
0.000 0.000 0.876 Al
0.500 0.500 0.000 Cu
0.500 0.500 0.246 Cu
0.500 0.500 0.754 Cu
0.500 0.500 0.500 Rh
```

Entry 5:
The following is a GGA-PBE calculation of a relaxed Al2CuRh crystal, from the Alexandria database.

Computed properties:
Total magnetization in μB/cell: 0.0
Density of states at the Fermi level in states/eV per cell: 3.61
E_form in eV/atom: -0.61
DFT total energy in eV per atom: -5.34

Structure (POSCAR):
```
Al2CuRh
1.0
9.077 0.000 0.000
0.000 2.966 0.000
-1.268 0.000 4.078
Al Cu Rh
4 2 2
Direct
0.000 0.000 0.000 Al
0.238 0.000 0.636 Al
0.500 0.500 0.000 Al
0.738 0.500 0.636 Al
0.243 0.500 0.142 Cu
0.743 0.000 0.142 Cu
0.499 0.000 0.502 Rh
0.999 0.500 0.502 Rh
```

Entry 6:
The following is a GGA-PBE calculation of a relaxed Al2CuRh crystal, from the Alexandria database.

Computed properties:
Total magnetization in μB/cell: 0.0
Density of states at the Fermi level in states/eV per cell: 5.89
E_form in eV/atom: -0.40
DFT total energy in eV per atom: -5.14

Structure (POSCAR):
```
Al2CuRh
1.0
2.850 0.000 0.000
-1.425 2.468 0.000
0.000 0.000 24.235
Al Cu Rh
6 3 3
Direct
0.000 0.000 0.248 Al
0.000 0.000 0.752 Al
0.333 0.667 0.419 Al
0.333 0.667 0.915 Al
0.667 0.333 0.085 Al
0.667 0.333 0.581 Al
0.000 0.000 0.000 Cu
0.333 0.667 0.667 Cu
0.667 0.333 0.333 Cu
0.000 0.000 0.500 Rh
0.333 0.667 0.167 Rh
0.667 0.333 0.833 Rh
```

Entry 7:
The following is a GGA-PBE calculation of a relaxed Al2CuRh crystal, from the Alexandria database.

Computed properties:
Total magnetization in μB/cell: 0.0
Density of states at the Fermi level in states/eV per cell: 1.70
E_form in eV/atom: -0.62
DFT total energy in eV per atom: -5.36

Structure (POSCAR):
```
Al2CuRh
1.0
3.516 0.000 0.000
0.000 3.751 0.000
0.000 0.000 8.257
Al Cu Rh
4 2 2
Direct
0.000 0.000 0.000 Al
0.000 0.500 0.244 Al
0.500 0.000 0.744 Al
0.500 0.500 0.500 Al
0.000 0.500 0.744 Cu
0.500 0.000 0.244 Cu
0.000 0.000 0.497 Rh
0.500 0.500 0.997 Rh
```

Entry 8:
The following is a GGA-PBE calculation of a relaxed AlCu2Rh crystal, from the Alexandria database.

Computed properties:
Total magnetization in μB/cell: 0.0
Density of states at the Fermi level in states/eV per cell: 1.26
E_form in eV/atom: -0.38
DFT total energy in eV per atom: -5.21

Structure (POSCAR):
```
AlCu2Rh
1.0
3.025 0.000 0.000
0.000 3.087 0.000
0.000 0.000 5.570
Al Cu Rh
1 2 1
Direct
0.000 0.000 0.000 Al
0.000 0.000 0.486 Cu
0.500 0.500 0.264 Cu
0.500 0.500 0.766 Rh
```

Entry 9:
The following is a GGA-PBE calculation of a relaxed Al2CuRh crystal, from the Alexandria database.

Computed properties:
Total magnetization in μB/cell: 0.0
Density of states at the Fermi level in states/eV per cell: 2.40
E_form in eV/atom: -0.65
DFT total energy in eV per atom: -5.38

Structure (POSCAR):
```
Al2CuRh
1.0
5.963 0.000 0.000
0.000 5.982 0.000
0.000 0.000 3.026
Al Cu Rh
4 2 2
Direct
0.250 0.250 0.000 Al
0.250 0.750 0.000 Al
0.750 0.250 0.000 Al
0.750 0.750 0.000 Al
0.000 0.000 0.500 Cu
0.500 0.500 0.500 Cu
0.000 0.500 0.500 Rh
0.500 0.000 0.500 Rh
```

Entry 10:
The following is a GGA-PBE calculation of a relaxed AlCuRh2 crystal, from the Alexandria database.

Computed properties:
Total magnetization in μB/cell: 0.0
Density of states at the Fermi level in states/eV per cell: 11.49
E_form in eV/atom: -0.37
DFT total energy in eV per atom: -6.00

Structure (POSCAR):
```
AlCuRh2
1.0
3.768 0.000 0.000
0.000 3.768 0.000
0.000 0.000 7.716
Al Cu Rh
2 2 4
Direct
0.000 0.000 0.000 Al
0.500 0.500 0.500 Al
0.000 0.500 0.750 Cu
0.500 0.000 0.250 Cu
0.000 0.000 0.500 Rh
0.000 0.500 0.250 Rh
0.500 0.000 0.750 Rh
0.500 0.500 0.000 Rh
```

Entry 11:
The following is a GGA-PBE calculation of a relaxed Al2CuRh crystal, from the Alexandria database.

Computed properties:
Total magnetization in μB/cell: 0.0
Density of states at the Fermi level in states/eV per cell: 5.99
E_form in eV/atom: -0.63
DFT total energy in eV per atom: -5.37

Structure (POSCAR):
```
Al2CuRh
1.0
6.002 0.000 0.000
0.000 6.002 0.000
0.000 0.000 6.002
Al Cu Rh
8 4 4
Direct
0.250 0.250 0.250 Al
0.250 0.250 0.750 Al
0.250 0.750 0.250 Al
0.250 0.750 0.750 Al
0.750 0.250 0.250 Al
0.750 0.250 0.750 Al
0.750 0.750 0.250 Al
0.750 0.750 0.750 Al
0.000 0.000 0.000 Cu
0.000 0.500 0.500 Cu
0.500 0.000 0.500 Cu
0.500 0.500 0.000 Cu
0.000 0.000 0.500 Rh
0.000 0.500 0.000 Rh
0.500 0.000 0.000 Rh
0.500 0.500 0.500 Rh
```

Entry 12:
The following is a GGA-PBE calculation of a relaxed AlCuRh2 crystal, from the Alexandria database.

Computed properties:
Total magnetization in μB/cell: 0.0
Density of states at the Fermi level in states/eV per cell: 7.40
E_form in eV/atom: 0.13
DFT total energy in eV per atom: -5.51

Structure (POSCAR):
```
AlCuRh2
1.0
2.696 0.000 0.000
0.000 4.462 0.000
0.000 0.000 10.137
Al Cu Rh
2 2 4
Direct
0.000 0.000 0.000 Al
0.500 0.500 0.500 Al
0.000 0.000 0.500 Cu
0.500 0.500 0.000 Cu
0.000 0.000 0.230 Rh
0.000 0.000 0.770 Rh
0.500 0.500 0.270 Rh
0.500 0.500 0.730 Rh
```

Entry 13:
The following is a GGA-PBE calculation of a relaxed AlCuRh crystal, from the Alexandria database.

Computed properties:
Total magnetization in μB/cell: 0.0
Density of states at the Fermi level in states/eV per cell: 0.53
E_form in eV/atom: -0.47
DFT total energy in eV per atom: -5.54

Structure (POSCAR):
```
AlCuRh
1.0
4.079 0.000 0.000
-2.040 3.533 0.000
0.000 0.000 2.802
Al Cu Rh
1 1 1
Direct
0.000 0.000 0.000 Al
0.667 0.333 0.126 Cu
0.333 0.667 0.583 Rh
```

Entry 14:
The following is a GGA-PBE calculation of a relaxed AlCu2Rh crystal, from the Alexandria database.

Computed properties:
Total magnetization in μB/cell: 0.0
Density of states at the Fermi level in states/eV per cell: 5.10
E_form in eV/atom: -0.34
DFT total energy in eV per atom: -5.16

Structure (POSCAR):
```
AlCu2Rh
1.0
3.626 0.000 0.000
0.000 3.626 0.000
0.000 0.000 7.960
Al Cu Rh
2 4 2
Direct
0.000 0.000 0.000 Al
0.500 0.500 0.500 Al
0.000 0.500 0.250 Cu
0.000 0.500 0.750 Cu
0.500 0.000 0.250 Cu
0.500 0.000 0.750 Cu
0.000 0.000 0.500 Rh
0.500 0.500 0.000 Rh
```

Entry 15:
The following is a GGA-PBE calculation of a relaxed AlCuRh14 crystal, from the Alexandria database.

Computed properties:
Total magnetization in μB/cell: 0.0
Density of states at the Fermi level in states/eV per cell: 21.08
E_form in eV/atom: -0.09
DFT total energy in eV per atom: -7.02

Structure (POSCAR):
```
AlCuRh14
1.0
5.423 0.000 0.000
0.000 5.423 0.000
0.000 0.000 7.689
Al Cu Rh
1 1 14
Direct
0.000 0.000 0.000 Al
0.500 0.500 0.000 Cu
0.000 0.000 0.500 Rh
0.000 0.500 0.000 Rh
0.000 0.500 0.500 Rh
0.250 0.250 0.251 Rh
0.250 0.250 0.749 Rh
0.250 0.750 0.251 Rh
0.250 0.750 0.749 Rh
0.500 0.000 0.000 Rh
0.500 0.000 0.500 Rh
0.500 0.500 0.500 Rh
0.750 0.250 0.251 Rh
0.750 0.250 0.749 Rh
0.750 0.750 0.251 Rh
0.750 0.750 0.749 Rh
```

Entry 16:
The following is a GGA-PBE calculation of a relaxed AlCu2Rh crystal, from the Alexandria database.

Computed properties:
Total magnetization in μB/cell: 1.2
Density of states at the Fermi level in states/eV per cell: 12.35
E_form in eV/atom: -0.02
DFT total energy in eV per atom: -4.84

Structure (POSCAR):
```
AlCu2Rh
1.0
2.716 0.000 0.000
-1.358 2.352 0.000
0.000 0.000 25.142
Al Cu Rh
3 6 3
Direct
0.000 0.000 0.000 Al
0.333 0.667 0.667 Al
0.667 0.333 0.333 Al
0.000 0.000 0.252 Cu
0.000 0.000 0.748 Cu
0.333 0.667 0.414 Cu
0.333 0.667 0.919 Cu
0.667 0.333 0.081 Cu
0.667 0.333 0.586 Cu
0.000 0.000 0.500 Rh
0.333 0.667 0.167 Rh
0.667 0.333 0.833 Rh
```

Entry 17:
The following is a GGA-PBE calculation of a relaxed AlCuRh2 crystal, from the Alexandria database.

Computed properties:
Total magnetization in μB/cell: 4.6
Density of states at the Fermi level in states/eV per cell: 17.25
E_form in eV/atom: -0.27
DFT total energy in eV per atom: -5.91

Structure (POSCAR):
```
AlCuRh2
1.0
6.058 0.000 0.000
0.000 6.058 0.000
0.000 0.000 6.058
Al Cu Rh
4 4 8
Direct
0.000 0.000 0.000 Al
0.000 0.500 0.500 Al
0.500 0.000 0.500 Al
0.500 0.500 0.000 Al
0.250 0.250 0.750 Cu
0.250 0.750 0.250 Cu
0.750 0.250 0.250 Cu
0.750 0.750 0.750 Cu
0.000 0.000 0.500 Rh
0.000 0.500 0.000 Rh
0.250 0.250 0.250 Rh
0.250 0.750 0.750 Rh
0.500 0.000 0.000 Rh
0.500 0.500 0.500 Rh
0.750 0.250 0.750 Rh
0.750 0.750 0.250 Rh
```

Entry 18:
The following is a GGA-PBE calculation of a relaxed AlCuRh crystal, from the Alexandria database.

Computed properties:
Total magnetization in μB/cell: 0.0
Density of states at the Fermi level in states/eV per cell: 2.68
E_form in eV/atom: -0.28
DFT total energy in eV per atom: -5.34

Structure (POSCAR):
```
AlCuRh
1.0
5.675 0.000 0.000
0.000 5.675 0.000
0.000 0.000 5.675
Al Cu Rh
4 4 4
Direct
0.000 0.000 0.000 Al
0.000 0.500 0.500 Al
0.500 0.000 0.500 Al
0.500 0.500 0.000 Al
0.250 0.250 0.750 Cu
0.250 0.750 0.250 Cu
0.750 0.250 0.250 Cu
0.750 0.750 0.750 Cu
0.250 0.250 0.250 Rh
0.250 0.750 0.750 Rh
0.750 0.250 0.750 Rh
0.750 0.750 0.250 Rh
```

Entry 19:
The following is a GGA-PBE calculation of a relaxed AlCu2Rh crystal, from the Alexandria database.

Computed properties:
Total magnetization in μB/cell: 0.0
Density of states at the Fermi level in states/eV per cell: 1.14
E_form in eV/atom: -0.45
DFT total energy in eV per atom: -5.27

Structure (POSCAR):
```
AlCu2Rh
1.0
3.613 0.000 0.000
0.000 3.613 0.000
0.000 0.000 3.968
Al Cu Rh
1 2 1
Direct
0.000 0.000 0.000 Al
0.000 0.500 0.500 Cu
0.500 0.000 0.500 Cu
0.500 0.500 0.000 Rh
```

Entry 20:
The following is a GGA-PBE calculation of a relaxed AlCuRh2 crystal, from the Alexandria database.

Computed properties:
Total magnetization in μB/cell: 0.0
Density of states at the Fermi level in states/eV per cell: 4.42
E_form in eV/atom: -0.35
DFT total energy in eV per atom: -5.99

Structure (POSCAR):
```
AlCuRh2
1.0
2.896 0.000 0.000
0.000 4.535 0.000
0.000 0.000 8.430
Al Cu Rh
2 2 4
Direct
0.000 0.000 0.000 Al
0.500 0.500 0.500 Al
0.000 0.000 0.500 Cu
0.500 0.500 0.000 Cu
0.000 0.500 0.264 Rh
0.000 0.500 0.736 Rh
0.500 0.000 0.236 Rh
0.500 0.000 0.764 Rh
```